# BaErCdGa

Crystalline BaErCdGa at its relaxed geometry (PBE, Alexandria).

Cell: 5.525 5.525 5.525 Å, 60.00 60.00 60.00°
Atoms (fractional coordinates):
Ba1 0.000 0.000 0.000
Cd1 0.750 0.750 0.750
Ga1 0.250 0.250 0.250
Er1 0.500 0.500 0.500

The density is 6.778 Mg/m³. The total energy is -2.83 eV/atom. The calculation puts the formation energy at -0.220 eV/atom.

# BaErCdHg

Crystalline BaErCdHg at its relaxed geometry (PBE, Alexandria).

Cell: 5.600 5.600 5.600 Å, 60.00 60.00 60.00°
Atoms (fractional coordinates):
Er1 0.000 0.000 0.000
Ba1 0.500 0.500 0.500
Cd1 0.750 0.750 0.750
Hg1 0.250 0.250 0.250

The density is 8.261 Mg/m³. The total energy is -2.18 eV/atom. The calculation puts the formation energy at -0.253 eV/atom.

# Ba2ErCd3In4

Crystalline Ba2ErCd3In4 at its relaxed geometry (PBE, Alexandria).

Cell: 4.854 4.854 13.073 Å, 90.00 90.00 90.00°
Atoms (fractional coordinates):
Ba1 0.500 0.000 0.240
Cd1 0.000 0.500 0.135
Er1 0.500 0.500 0.500
In1 0.500 0.000 0.645
Ba2 0.000 0.500 0.760
Cd2 0.500 0.000 0.865
In2 0.000 0.500 0.355
Cd3 0.000 0.000 0.500
In3 0.000 0.000 0.000
In4 0.500 0.500 0.000

The density is 6.676 Mg/m³. The total energy is -2.54 eV/atom. The calculation puts the formation energy at -0.325 eV/atom.

# BaErCd2In2

Crystalline BaErCd2In2 at its relaxed geometry (PBE, Alexandria).

Cell: 4.989 4.989 8.254 Å, 90.00 90.00 120.00°
Atoms (fractional coordinates):
In1 0.333 0.667 0.297
Er1 0.000 0.000 0.500
In2 0.667 0.333 0.703
Cd1 0.667 0.333 0.310
Cd2 0.333 0.667 0.690
Ba1 0.000 0.000 0.000

The density is 7.085 Mg/m³. The total energy is -2.70 eV/atom. The calculation puts the formation energy at -0.399 eV/atom.

# Ba2ErMg12Cd3

Crystalline Ba2ErMg12Cd3 at its relaxed geometry (PBE, Alexandria).

Cell: 9.860 9.860 9.860 Å, 53.31 53.31 53.31°
Atoms (fractional coordinates):
Mg1 0.870 0.215 0.215
Cd1 0.500 0.000 0.000
Mg2 0.785 0.130 0.785
Ba1 0.582 0.582 0.582
Ba2 0.418 0.418 0.418
Cd2 0.000 0.000 0.500
Mg3 0.172 0.548 0.172
Cd3 0.000 0.500 0.000
Mg4 0.215 0.870 0.215
Mg5 0.452 0.828 0.828
Mg6 0.548 0.172 0.172
Mg7 0.130 0.785 0.785
Mg8 0.172 0.172 0.548
Mg9 0.828 0.828 0.452
Mg10 0.785 0.785 0.130
Er1 0.000 0.000 0.000
Mg11 0.828 0.452 0.828
Mg12 0.215 0.215 0.870

The density is 3.110 Mg/m³. The total energy is -1.51 eV/atom. The calculation puts the formation energy at 0.175 eV/atom.

# Ba2ErCd3Pb4

Crystalline Ba2ErCd3Pb4 at its relaxed geometry (PBE, Alexandria).

Cell: 5.038 5.038 12.981 Å, 90.00 90.00 90.00°
Atoms (fractional coordinates):
Ba1 0.500 0.000 0.240
Pb1 0.500 0.500 0.000
Ba2 0.000 0.500 0.760
Cd1 0.000 0.500 0.135
Pb2 0.000 0.000 0.000
Pb3 0.500 0.000 0.638
Pb4 0.000 0.500 0.362
Er1 0.500 0.500 0.500
Cd2 0.500 0.000 0.865
Cd3 0.000 0.000 0.500

The density is 8.104 Mg/m³. The total energy is -2.97 eV/atom. The calculation puts the formation energy at -0.374 eV/atom.

# Ba2ErCdSe5

Crystalline Ba2ErCdSe5 at its relaxed geometry (PBE, Alexandria).

Cell: 4.328 9.749 13.295 Å, 90.00 90.00 102.83°
Atoms (fractional coordinates):
Se1 0.057 0.114 0.060
Se2 0.354 0.708 0.005
Ba1 0.115 0.231 0.688
Ba2 0.885 0.769 0.188
Er1 0.208 0.416 0.015
Cd1 0.449 0.898 0.446
Se3 0.646 0.292 0.505
Ba3 0.869 0.738 0.815
Er2 0.792 0.584 0.515
Se4 0.495 0.991 0.768
Se5 0.692 0.383 0.871
Se6 0.710 0.419 0.157
Se7 0.505 0.009 0.268
Se8 0.943 0.886 0.560
Ba4 0.131 0.262 0.315
Se9 0.308 0.617 0.371
Cd2 0.551 0.102 0.946
Se10 0.290 0.581 0.657

The density is 5.763 Mg/m³. Its uncorrected formation energy is -1.517 eV per atom. The total energy is -4.49 eV/atom.

# BaErCdSn

Crystalline BaErCdSn at its relaxed geometry (PBE, Alexandria).

Cell: 5.618 5.618 5.618 Å, 60.00 60.00 60.00°
Atoms (fractional coordinates):
Er1 0.500 0.500 0.500
Cd1 0.750 0.750 0.750
Sn1 0.250 0.250 0.250
Ba1 0.000 0.000 0.000

The density is 7.094 Mg/m³. The total energy is -3.20 eV/atom. The calculation puts the formation energy at -0.353 eV/atom.